# 1
This record from the Alexandria database describes crystalline MgFeBr at its relaxed geometry. The functional is GGA-PBE.

a = 4.4573 Å, b = 4.4573 Å, c = 4.4573 Å
α = 60.00°, β = 60.00°, γ = 60.00°
Element x y z (fractional)
Mg1 0.0000 0.0000 0.0000
Fe1 0.2500 0.2500 0.2500
Br1 0.5000 0.5000 0.5000

Uncorrected energy   -3.32 eV/atom
Formation energy (no corrections)   0.59 eV per atom
Mass density   4.24 g/cm3

---

# 2
This record from the Alexandria database describes crystalline Li4Bi3SbS8 at its relaxed geometry. The functional is GGA-PBE.

a = 7.9202 Å, b = 7.8094 Å, c = 7.9174 Å
α = 120.51°, β = 120.01°, γ = 90.00°
Element x y z (fractional)
S1 0.7491 0.2393 0.4981
S2 0.7491 0.2393 0.9896
S3 0.2509 0.7607 0.0104
S4 0.7549 0.7641 0.5098
S5 0.2451 0.2359 0.4902
S6 0.2509 0.7607 0.5019
S7 0.7594 0.7607 0.0104
S8 0.2406 0.2393 0.9896
Bi1 0.5000 0.5000 0.5000
Bi2 0.0000 0.5000 0.5000
Bi3 0.5000 0.5000 0.0000
Li1 0.0000 0.0000 0.0000
Li2 0.5000 0.0000 0.0000
Li3 0.0000 0.0000 0.5000
Li4 0.5000 0.0000 0.5000
Sb1 0.0000 0.5000 0.0000

Uncorrected energy   -4.24 eV/atom
Formation energy (no corrections)   -0.72 eV per atom
Mass density   4.99 g/cm3

---

# 3
This record from the Alexandria database describes crystalline Ba2PuBO6 at its relaxed geometry. The functional is GGA-PBE.

a = 5.9187 Å, b = 5.9177 Å, c = 6.5212 Å
α = 56.55°, β = 56.55°, γ = 77.60°
Element x y z (fractional)
B1 0.5000 0.5000 0.0000
O1 0.3272 0.6730 0.9999
O2 0.2197 0.2198 0.5604
O3 0.2197 0.2198 0.9999
O4 0.7803 0.7802 0.4396
O5 0.6728 0.3270 0.0001
O6 0.7803 0.7802 0.0001
Ba1 0.2501 0.7501 0.4999
Ba2 0.7499 0.2499 0.5001
Pu1 0.0000 0.0000 0.0000

Uncorrected energy   -8.07 eV/atom
Formation energy (no corrections)   -2.61 eV per atom
Mass density   6.59 g/cm3

---

# 4
This record from the Alexandria database describes crystalline Cr2AgI at its relaxed geometry. The functional is GGA-PBE.

a = 4.9842 Å, b = 4.9842 Å, c = 4.9842 Å
α = 60.00°, β = 60.00°, γ = 60.00°
Element x y z (fractional)
Cr1 0.2500 0.2500 0.2500
Cr2 0.7500 0.7500 0.7500
I1 0.5000 0.5000 0.5000
Ag1 0.0000 0.0000 0.0000

Uncorrected energy   -5.09 eV/atom
Formation energy (no corrections)   0.83 eV per atom
Mass density   6.43 g/cm3